SrPr2Zr | Alexandria via LeMat-Bulk | PBE-GGA | optimized geometry; symmetry = No. 166; calculated total energy = -4.73 eV/atom
1.0
1.817 1.049 12.193
-1.817 1.049 12.193
0.000 -2.098 12.193
Sr Pr Zr
1 2 1
Cartesian
0.000 0.000 0.000
0.000 0.000 8.746
0.000 0.000 27.831
0.000 0.000 18.289